Here is an optimized crystal structure of HfGaAg from the Alexandria database. Energies are from PBE.

Geometry as POSCAR:
```
HfGaAg
1.0
-2.605 0.733 3.367
-1.111 -2.918 -0.224
5.184 -4.019 4.887
Ag Ga Hf
2 2 2
Cartesian
0.509 -1.679 2.810 Ag
-2.234 -2.379 3.611 Ag
1.047 -5.549 6.840 Ga
2.414 -2.528 4.468 Ga
-0.171 -3.295 5.407 Hf
3.631 -4.782 5.901 Hf
```

Energy of formation from the pure elements ... -0.235 eV/atom